An optimized crystal structure of TcB3F, computed with GGA-PBE.

```
data_TcB3F
_symmetry_space_group_name_H-M 'P 1'
_symmetry_Int_Tables_number 1
_cell_length_a 3.588
_cell_length_b 3.588
_cell_length_c 3.588
_cell_angle_alpha 90.00
_cell_angle_beta 90.00
_cell_angle_gamma 90.00
loop_
_symmetry_equiv_pos_as_xyz
'x,y,z'
loop_
_atom_site_label
_atom_site_type_symbol
_atom_site_fract_x
_atom_site_fract_y
_atom_site_fract_z
_atom_site_occupancy
B1 B 0.000 0.500 0.000 1
B2 B 0.000 0.000 0.500 1
B3 B 0.500 0.000 0.000 1
Tc1 Tc 0.500 0.500 0.500 1
F1 F 0.000 0.000 0.000 1
```

Summary:
- Total magnetic moment: 0.27 μB per atom
- DFT total energy: -24.91 eV for the cell shown